The following is a PBE-GGA calculation of BaIn2Mo after structural relaxation, from Alexandria via LeMat-Bulk.

Cell lengths 3.6135, 3.6135, 8.1251 Å; angles 90.00, 90.00, 90.00 degrees
Positions (direct):
Ba 0.0000 0.0000 0.0000
In 0.5000 0.5000 0.3168
In 0.5000 0.5000 0.6832
Mo 0.0000 0.0000 0.5000

Properties
The calculation puts the total magnetic moment at 1.977 μB/f.u. Its density of states at the Fermi level is 3.25 states/eV/f.u. Its energy is -4.32 eV per atom. The value obtained for the formation energy is 0.235 eV per atom.